Entry from the Alexandria database: Hf2TiW after structural relaxation (GGA-PBE).

Output
* spin magnetization: 0.00 μB/f.u.
* calculated density: 12.920 g cm⁻³
* relative energy among the computed polymorphs: 0.0194 eV per atom
* energy relative to the elements: 11.4 kJ/mol of atoms

a b c (Å): 3.3371 4.7616 4.7616
angles (deg): 90.00 90.00 90.00
With the nearest neighbours (Å) after each atom.
Positions (direct):
1 W 0.5000 0.5000 0.5000  8 Hf 2.91
2 Hf 0.0000 0.0000 0.5000  4 W 2.91, 4 Ti 2.91
3 Hf 0.0000 0.5000 0.0000  4 W 2.91, 4 Ti 2.91
4 Ti 0.5000 0.0000 0.0000  8 Hf 2.91